Entry 1:
# Sc2W

Sc2W after structural relaxation (PBE-GGA, OQMD).

```
data_Sc2W
_chemical_formula_sum 'Sc8 W4'
_cell_length_a 6.4493
_cell_length_b 6.4493
_cell_length_c 6.4493
_cell_angle_alpha 90.00
_cell_angle_beta 90.00
_cell_angle_gamma 90.00
_symmetry_space_group_name_H-M 'F m -3 m'
_symmetry_Int_Tables_number 225
_symmetry_space_group_name_Hall '-F 4 2 3'
loop_
_atom_site_label
_atom_site_fract_x
_atom_site_fract_y
_atom_site_fract_z
_atom_site_occupancy
Sc1 0.2500 0.2500 0.2500 1
W1 0.0000 0.0000 0.0000 1
```

Properties
The calculation puts the energy of formation at 0.8379 eV per atom. As for the calculated total energy: -7.70 eV per atom. For the energy above the most stable polymorph in this dataset, the calculation gives 16 meV per atom.

=====

Entry 2:
# ScZnW2

ScZnW2 after structural relaxation (PBE-GGA, OQMD).

```
data_ScZnW2
_chemical_formula_sum 'Sc4 Zn4 W8'
_cell_length_a 6.4237
_cell_length_b 6.4237
_cell_length_c 6.4237
_cell_angle_alpha 90.00
_cell_angle_beta 90.00
_cell_angle_gamma 90.00
_symmetry_space_group_name_H-M 'F -4 3 m'
_symmetry_Int_Tables_number 216
_symmetry_space_group_name_Hall 'F -4 2 3'
loop_
_atom_site_label
_atom_site_fract_x
_atom_site_fract_y
_atom_site_fract_z
_atom_site_occupancy
Sc1 0.0000 0.0000 0.0000 1
Zn1 0.2500 0.2500 0.2500 1
W1 0.0000 0.0000 0.5000 1
W2 0.2500 0.2500 0.7500 1
```

Properties
The calculation puts the energy of formation at 0.1298 eV per atom. As for the calculated total energy: -8.25 eV per atom.

=====

Entry 3:
# ZrSc2W

ZrSc2W after structural relaxation (PBE-GGA, OQMD).

```
data_ZrSc2W
_chemical_formula_sum 'Zr4 Sc8 W4'
_cell_length_a 6.8746
_cell_length_b 6.8746
_cell_length_c 6.8746
_cell_angle_alpha 90.00
_cell_angle_beta 90.00
_cell_angle_gamma 90.00
_symmetry_space_group_name_H-M 'F -4 3 m'
_symmetry_Int_Tables_number 216
_symmetry_space_group_name_Hall 'F -4 2 3'
loop_
_atom_site_label
_atom_site_fract_x
_atom_site_fract_y
_atom_site_fract_z
_atom_site_occupancy
Zr1 0.0000 0.0000 0.0000 1
Sc1 0.0000 0.0000 0.5000 1
Sc2 0.2500 0.2500 0.2500 1
W1 0.2500 0.2500 0.7500 1
```

Properties
The calculation puts the energy of formation at 0.1843 eV per atom. As for the calculated total energy: -8.36 eV per atom.

=====

Entry 4:
# YSc

YSc after structural relaxation (PBE-GGA, OQMD).

```
data_YSc
_chemical_formula_sum 'Y1 Sc1'
_cell_length_a 3.4685
_cell_length_b 3.4685
_cell_length_c 5.3951
_cell_angle_alpha 90.00
_cell_angle_beta 90.00
_cell_angle_gamma 120.00
_symmetry_space_group_name_H-M 'P -6 m 2'
_symmetry_Int_Tables_number 187
_symmetry_space_group_name_Hall 'P -6 2'
loop_
_atom_site_label
_atom_site_fract_x
_atom_site_fract_y
_atom_site_fract_z
_atom_site_occupancy
Y1 0.0000 0.0000 0.0000 1
Sc1 0.3333 0.6667 0.5000 1
```

Properties
The calculation puts the energy of formation at 0.0495 eV per atom. As for the calculated total energy: -6.35 eV per atom. For the energy above the most stable polymorph in this dataset, the calculation gives 0 meV per atom.